FeCu2Hg: relaxed, PBE.

The structure belongs to space group I-42d (No. 122); the cell edges are 3.724, 3.724 and 18.341 Å and the angles 90.00°, 90.00° and 90.00°. The distinct sites, in fractional coordinates, are Fe at (0.000, 0.000, 0.000), Cu at (0.232, 0.250, 0.125) and Hg at (0.000, 0.000, 0.500).

As for the total energy: -0.27094 Ry/atom. The value obtained for the energy relative to the lowest polymorph listed for this composition is 0.291 eV per atom. The value obtained for the formation energy is 53.3 kJ/mol of atoms. As for the volume: 254.4 Å³/cell. The value obtained for the magnetization is 2.69 μB/f.u.

Sc2AgPd6: relaxed, PBE.

The structure belongs to space group C2/m (No. 12); the cell edges are 13.079, 8.222 and 2.925 Å and the angles 90.00°, 102.79° and 90.00°. The distinct sites, in fractional coordinates, are Sc at (0.156, 0.000, 0.154), Ag at (0.000, 0.500, 0.000), Pd at (0.000, 0.177, 0.500) and Pd at (0.178, 0.330, 0.179).

As for the total energy: -0.41506 Ry/atom. The value obtained for the energy relative to the lowest polymorph listed for this composition is 0.080 eV per atom. The value obtained for the formation energy is -44.5 kJ/mol of atoms. As for the volume: 306.7 Å³/cell. The value obtained for the magnetization is 0.00 μB/f.u.

Sc3GaN: relaxed, PBE.

The structure belongs to space group P2_1/m (No. 11); the cell edges are 4.610, 6.556 and 6.168 Å and the angles 90.00°, 109.68° and 90.00°. The distinct sites, in fractional coordinates, are Sc at (0.044, 0.250, 0.094), Sc at (0.379, 0.021, 0.744), Ga at (0.174, 0.750, 0.382) and N at (0.486, 0.750, 0.969).

As for the total energy: -0.51231 Ry/atom. As for the volume: 175.5 Å³/cell. The value obtained for the magnetization is 0.00 μB/f.u.

Rb: relaxed, PBE.

The structure belongs to space group C2/m (No. 12); the cell edges are 8.172, 5.371 and 8.177 Å and the angles 90.00°, 97.35° and 90.00°. The distinct sites, in fractional coordinates, are Rb at (0.234, 0.000, 0.250).

As for the total energy: -0.07077 Ry/atom. The value obtained for the energy relative to the lowest polymorph listed for this composition is 0.005 eV per atom. The value obtained for the formation energy is 0.5 kJ/mol of atoms. As for the volume: 356.0 Å³/cell. The value obtained for the magnetization is 0.00 μB/f.u.

YHoAg4: relaxed, PBE.

The structure belongs to space group F-43m (No. 216); the cell edges are 8.062, 8.062 and 8.062 Å and the angles 90.00°, 90.00° and 90.00°. The distinct sites, in fractional coordinates, are Y at (0.000, 0.000, 0.000), Ho at (0.250, 0.250, 0.750) and Ag at (0.125, 0.125, 0.375).

As for the total energy: -0.28792 Ry/atom. The value obtained for the energy relative to the lowest polymorph listed for this composition is 0.143 eV per atom. The value obtained for the formation energy is -17.0 kJ/mol of atoms. As for the volume: 524.0 Å³/cell. The value obtained for the magnetization is 0.00 μB/f.u.

MnOs3: relaxed, PBE.

The structure belongs to space group Cmmm (No. 65); the cell edges are 5.380, 7.601 and 2.702 Å and the angles 90.00°, 90.00° and 90.00°. The distinct sites, in fractional coordinates, are Mn at (0.000, 0.000, 0.000), Os at (0.000, 0.500, 0.000) and Os at (0.250, 0.250, 0.500).

As for the total energy: -0.77990 Ry/atom. The value obtained for the formation energy is 10.0 kJ/mol of atoms. As for the volume: 110.5 Å³/cell. The value obtained for the magnetization is 1.49 μB/f.u.

TiCo: relaxed, PBE.

The structure belongs to space group P6_3/mmc (No. 194); the cell edges are 7.8073, 7.8073 and 3.5213 Å and the angles 90.00°, 90.00° and 120.00°. The distinct sites, in fractional coordinates, are Ti at (0.1972, 0.3945, 0.2500) and Co at (0.1259, 0.5630, 0.7500).

As for the total energy: -0.55687 Ry/atom. The value obtained for the formation energy is -7.4 kJ/mol of atoms. As for the volume: 185.9 Å³/cell. The value obtained for the magnetization is 0.00 μB/f.u.

SrGa5Cu3: relaxed, PBE.

The structure belongs to space group Cmcm (No. 63); the cell edges are 4.059, 12.532 and 12.953 Å and the angles 90.00°, 90.00° and 90.00°. The distinct sites, in fractional coordinates, are Sr at (0.000, 0.160, 0.250), Ga at (0.000, 0.000, 0.000), Ga at (0.000, 0.200, 0.571), Ga at (0.000, 0.448, 0.152), Cu at (0.000, 0.125, 0.750) and Cu at (0.000, 0.390, 0.539).

As for the total energy: -0.25373 Ry/atom. The value obtained for the formation energy is -21.1 kJ/mol of atoms. As for the volume: 658.9 Å³/cell. The value obtained for the magnetization is 0.00 μB/f.u.

Y2NbZnPt: relaxed, PBE.

The structure belongs to space group P4/mmm (No. 123); the cell edges are 5.234, 5.234 and 4.840 Å and the angles 90.00°, 90.00° and 90.00°. The distinct sites, in fractional coordinates, are Y at (0.000, 0.500, 0.000), Nb at (0.000, 0.000, 0.000), Zn at (0.000, 0.000, 0.500) and Pt at (0.500, 0.500, 0.500).

As for the total energy: -0.39096 Ry/atom. The value obtained for the formation energy is 71.7 kJ/mol of atoms. As for the volume: 132.6 Å³/cell. The value obtained for the magnetization is 0.00 μB/f.u.

Pr2ScIn2Rh5: relaxed, PBE.

The structure belongs to space group P4/mbm (No. 127); the cell edges are 10.510, 10.510 and 3.631 Å and the angles 90.00°, 90.00° and 90.00°. The distinct sites, in fractional coordinates, are Pr at (0.170, 0.330, 0.000), Sc at (0.000, 0.000, 0.000), In at (0.129, 0.629, 0.000), Rh at (0.000, 0.500, 0.500) and Rh at (0.057, 0.804, 0.500).

As for the total energy: -0.46364 Ry/atom. The value obtained for the formation energy is -47.8 kJ/mol of atoms. As for the volume: 401.1 Å³/cell. The value obtained for the magnetization is 0.00 μB/f.u.

TaTiReMo2: relaxed, PBE.

The structure belongs to space group Cmcm (No. 63); the cell edges are 4.445, 12.857 and 6.192 Å and the angles 90.00°, 90.00° and 90.00°. The distinct sites, in fractional coordinates, are Ta at (0.000, 0.000, 0.000), Ti at (0.000, 0.170, 0.250), Re at (0.000, 0.498, 0.250) and Mo at (0.000, 0.325, 0.003).

As for the total energy: -0.75947 Ry/atom. The value obtained for the formation energy is 42.3 kJ/mol of atoms. As for the volume: 353.9 Å³/cell. The value obtained for the magnetization is 0.00 μB/f.u.

CsTl2CdHg: relaxed, PBE.

The structure belongs to space group P4/mmm (No. 123); the cell edges are 5.855, 5.855 and 5.852 Å and the angles 90.00°, 90.00° and 90.00°. The distinct sites, in fractional coordinates, are Cs at (0.000, 0.000, 0.000), Tl at (0.000, 0.500, 0.500), Cd at (0.500, 0.500, 0.500) and Hg at (0.500, 0.500, 0.000).

As for the total energy: -0.09617 Ry/atom. The value obtained for the energy relative to the lowest polymorph listed for this composition is 0.000 eV per atom. The value obtained for the formation energy is 5.0 kJ/mol of atoms. As for the volume: 200.6 Å³/cell. The value obtained for the magnetization is 0.00 μB/f.u.